Record 1
Density functional theory data (PBE) for a relaxed Cu6Ni3Pd crystal.

N(E_F)	12.05	states/eV/f.u.
formation energy	0.19	kcal/mol of atoms
spin magnetization	1.10	μB per cell

a b c (Å): 8.0802 3.6335 8.1412
angles (deg): 90.00 90.65 90.00
Last column: nearest neighbours and their distance in Å.
Space group P2_1/m (No. 11)
Inequivalent atoms, fractional coordinates:
Cu  0.0459  0.2500  0.4012 (multiplicity 2)  5 Cu 2.51-2.55, 7 Ni 2.51-2.56
Cu  0.1374  0.7500  0.2015 (multiplicity 2)  5 Ni 2.49-2.57, 6 Cu 2.55-2.61, 1 Pd 2.59
Cu  0.2376  0.2500  0.9950 (multiplicity 2)  4 Ni 2.48-2.53, 5 Cu 2.61-2.67, 3 Pd 2.62-2.73
Cu  0.3403  0.2500  0.3078 (multiplicity 2)  8 Cu 2.48-2.69, 2 Ni 2.52, 2 Pd 2.58
Cu  0.3431  0.7500  0.7914 (multiplicity 2)  4 Ni 2.49-2.52, 5 Cu 2.58-2.69, 3 Pd 2.63-2.69
Cu  0.4478  0.2500  0.5938 (multiplicity 2)  7 Cu 2.48-2.62, 4 Ni 2.54-2.59, 1 Pd 2.57
Ni  0.0513  0.7500  0.8980 (multiplicity 2)  8 Cu 2.48-2.56, 4 Ni 2.59-2.60
Ni  0.1516  0.2500  0.6948 (multiplicity 2)  8 Cu 2.49-2.54, 4 Ni 2.54-2.59
Ni  0.2465  0.7500  0.4994 (multiplicity 2)  10 Cu 2.49-2.59, 2 Ni 2.54
Pd  0.4427  0.7500  0.1083 (multiplicity 2)  10 Cu 2.57-2.73, 2 Pd 2.70

***

Record 2
Density functional theory data (PBE) for a relaxed YBe2Ir2 crystal.

N(E_F)	2.37	states/eV/f.u.
formation energy	-13.84	kcal/mol of atoms
spin magnetization	0.00	μB per cell
ΔE to the lowest computed polymorph	0.0782	eV per atom

a b c (Å): 5.1931 9.7236 6.8101
angles (deg): 90.00 112.41 90.00
Last column: nearest neighbours and their distance in Å.
Space group C2/c (No. 15)
Inequivalent atoms, fractional coordinates:
Y  0.0000  0.1246  0.2500 (multiplicity 4)  8 Ir 2.98-3.24, 6 Be 3.06-3.16
Be  0.0000  0.1899  0.7500 (multiplicity 4)  4 Ir 2.22-2.32
Be  0.0000  0.4395  0.2500 (multiplicity 4)  4 Ir 2.22-2.32
Ir  0.1160  0.3751  0.9814 (multiplicity 8)  4 Be 2.22-2.32

***

Record 3
Density functional theory data (PBE) for a relaxed BaHg3Te crystal.

N(E_F)	3.24	states/eV/f.u.
spin magnetization	0.00	μB per cell
ΔE to the lowest computed polymorph	0.0000	eV per atom
formation energy from raw total energies	-37	meV per atom

a b c (Å): 5.7687 5.7687 5.7687
angles (deg): 90.00 90.00 90.00
Last column: nearest neighbours and their distance in Å.
Space group Pm-3m (No. 221)
Inequivalent atoms, fractional coordinates:
Ba  0.0000  0.0000  0.0000 (multiplicity 1)  12 Hg 4.08
Hg  0.0000  0.5000  0.5000 (multiplicity 3)  2 Te 2.88
Te  0.5000  0.5000  0.5000 (multiplicity 1)  6 Hg 2.88